CaHfGe3: PBEsol geometry, meta-GGA SCAN.

The space group is Pm-3m (No. 221) and the conventional cell measures 4.959, 4.959 and 4.959 Å, with angles of 90.00, 90.00 and 90.00 degrees. The asymmetric unit holds Ca at (0.000, 0.000, 0.000), Hf at (0.500, 0.500, 0.500) and Ge at (0.000, 0.000, 0.500).

For the formation energy from the elements, the calculation gives 1.214 eV/atom.